First-principles (PBE) data for crystalline HfPbO4 at its relaxed geometry, as listed in Alexandria via LeMat-Bulk.

CIF file:
```
data_HfPbO4
_cell_length_a 3.6930
_cell_length_b 3.6930
_cell_length_c 5.2602
_cell_angle_alpha 90.00
_cell_angle_beta 90.00
_cell_angle_gamma 90.00
_space_group_name_H-M_alt 'P 1'
_space_group_IT_number 1
loop_
_space_group_symop_operation_xyz
'x,y,z'
loop_
_atom_site_label
_atom_site_fract_x
_atom_site_fract_y
_atom_site_fract_z
Pb1 0.0000 0.0000 0.0000
O1 0.5000 0.0000 0.2626
O2 0.5000 0.0000 0.7374
O3 0.0000 0.5000 0.2626
O4 0.0000 0.5000 0.7374
Hf1 0.5000 0.5000 0.5000
```

## Properties
- Total moment: 0.00 μB/cell
- V: 12.0 Å³/atom
- E_form (uncorrected): -2.0353 eV per atom
- Space group: P4/mmm (123)
- Total energy: -7.6177 eV/atom
- Polymorph energy (0 for the lowest one): 0.66 eV per formula unit